Density functional theory data (GGA-PBE) for a relaxed structure of SiAs2Pb.

As for the space group: Pnma. The calculation puts the magnetic moment at 0.0 μB/f.u. As for the final energy: -4.5261 eV/atom.

```
SiAs2Pb
1.0
5.9433 0.0000 0.0000
0.0000 9.4815 0.0000
0.0000 0.0000 14.6672
As Si Pb
16 8 8
direct
0.5014 0.8231 0.8419 As
0.9986 0.8231 0.8419 As
0.7500 0.1887 0.8971 As
0.4986 0.1769 0.1581 As
0.2500 0.8113 0.1029 As
0.2500 0.9728 0.5447 As
0.5014 0.3231 0.6581 As
0.4986 0.6769 0.3419 As
0.9986 0.3231 0.6581 As
0.0014 0.6769 0.3419 As
0.2500 0.3113 0.3971 As
0.7500 0.5272 0.0447 As
0.0014 0.1769 0.1581 As
0.7500 0.6887 0.6029 As
0.7500 0.0272 0.4553 As
0.2500 0.4728 0.9553 As
0.2500 0.0524 0.0533 Si
0.7500 0.4476 0.5533 Si
0.7500 0.9476 0.9467 Si
0.2500 0.7229 0.9530 Si
0.2500 0.5524 0.4467 Si
0.7500 0.7771 0.4530 Si
0.7500 0.2771 0.0470 Si
0.2500 0.2229 0.5470 Si
0.2500 0.1280 0.8646 Pb
0.2500 0.9722 0.3488 Pb
0.7500 0.5278 0.8488 Pb
0.7500 0.8720 0.1354 Pb
0.2500 0.6280 0.6354 Pb
0.7500 0.3720 0.3646 Pb
0.7500 0.0278 0.6512 Pb
0.2500 0.4722 0.1512 Pb
```

***

Density functional theory data (GGA-PBE) for a relaxed structure of SiAs2Pb.

As for the space group: R-3m. The calculation puts the magnetic moment at 0.0 μB/f.u. As for the final energy: -4.5017 eV/atom.

```
SiAs2Pb
1.0
-0.2153 -6.7309 -2.4300
2.4011 -6.7312 0.4257
-1.3766 -6.9118 1.2605
Pb As Si
1 2 1
direct
0.2500 0.2500 0.2500 Pb
0.4816 0.4816 0.4816 As
0.0184 0.0184 0.0184 As
0.7500 0.7500 0.7500 Si
```

***

Density functional theory data (GGA-PBE) for a relaxed structure of SiAsPb2.

As for the space group: Pm. The calculation puts the magnetic moment at 0.0 μB/f.u. As for the final energy: -4.1979 eV/atom.

```
SiAsPb2
1.0
3.6096 0.0000 0.0000
0.0000 5.6914 0.0807
0.0000 2.9592 5.0997
As Si Pb
1 1 2
direct
0.5000 0.4717 0.6978 As
0.0000 0.8026 0.5409 Si
0.0000 0.9156 0.9827 Pb
0.5000 0.3101 0.2785 Pb
```

***

Density functional theory data (GGA-PBE) for a relaxed structure of Si2AsPb.

As for the space group: C2/m. The calculation puts the magnetic moment at 0.0 μB/f.u. As for the final energy: -4.1635 eV/atom.

```
Si2AsPb
1.0
5.9870 -0.1639 0.1944
-2.7988 5.2951 0.1944
0.6725 1.0823 2.7835
As Pb Si
1 1 2
direct
0.5000 0.0000 0.5000 As
0.0000 0.5000 0.5000 Pb
0.5000 0.5000 0.0000 Si
0.0000 0.0000 0.0000 Si
```

***

Density functional theory data (GGA-PBE) for a relaxed structure of Si2AsPb.

As for the space group: Pmmm. The calculation puts the magnetic moment at 0.0 μB/f.u. As for the final energy: -4.1898 eV/atom.

```
Si2AsPb
1.0
-2.9998 -0.8096 1.9057
2.5324 -3.1575 2.6447
1.0390 3.4202 3.0885
As Si Pb
1 2 1
direct
0.5000 0.0000 0.5000 As
0.0000 0.0000 0.0000 Si
0.5000 0.5000 0.0000 Si
0.0000 0.5000 0.5000 Pb
```

***

Density functional theory data (GGA-PBE) for a relaxed structure of SiAs2Pb.

As for the space group: Cmmm. The calculation puts the magnetic moment at 0.0 μB/f.u. As for the final energy: -4.2520 eV/atom.

```
SiAs2Pb
1.0
-0.4155 -0.2380 -3.2846
3.2414 -0.0967 0.7083
-0.3947 -8.4049 0.6590
As Pb Si
2 1 1
direct
0.0000 0.0000 0.5504 As
0.0000 0.0000 0.9496 As
0.5000 0.5000 0.2500 Pb
0.5000 0.5000 0.7500 Si
```

***

Which value of magnetic moment does entry 4 give?
0.0 μB/f.u.

***

What did the fifth record say?
Density functional theory data (GGA-PBE) for a relaxed structure of Si2AsPb.

As for the space group: Pmmm. The calculation puts the magnetic moment at 0.0 μB/f.u. As for the final energy: -4.1898 eV/atom.

```
Si2AsPb
1.0
-2.9998 -0.8096 1.9057
2.5324 -3.1575 2.6447
1.0390 3.4202 3.0885
As Si Pb
1 2 1
direct
0.5000 0.0000 0.5000 As
0.0000 0.0000 0.0000 Si
0.5000 0.5000 0.0000 Si
0.0000 0.5000 0.5000 Pb
```

***

Repeat the sixth record exactly.
Density functional theory data (GGA-PBE) for a relaxed structure of SiAs2Pb.

As for the space group: Cmmm. The calculation puts the magnetic moment at 0.0 μB/f.u. As for the final energy: -4.2520 eV/atom.

```
SiAs2Pb
1.0
-0.4155 -0.2380 -3.2846
3.2414 -0.0967 0.7083
-0.3947 -8.4049 0.6590
As Pb Si
2 1 1
direct
0.0000 0.0000 0.5504 As
0.0000 0.0000 0.9496 As
0.5000 0.5000 0.2500 Pb
0.5000 0.5000 0.7500 Si
```